Entry 1:
A plane-wave DFT calculation with GGA-PBE was carried out for an optimized crystal structure of K2AgSe.

a = 12.0809 Å, b = 4.8698 Å, c = 4.6783 Å
α = 90.00°, β = 90.03°, γ = 90.00°
Space group Cm (No. 8)
One atom of each set of equivalent atoms:
K 0.0000 0.0000 0.0000
K 0.2155 0.5000 0.4989
Ag 0.4080 0.0000 0.5001
Se 0.2950 0.0000 0.0000

Results
uncorrected energy	-2.64	eV/atom
DOS at the Fermi energy	4.9	states/eV/cell
size of the total moment	0.42	μB per formula unit
distance to the lowest polymorph of the same formula	0.000	eV per atom

Entry 2:
A plane-wave DFT calculation with GGA-PBE was carried out for an optimized crystal structure of KAgSe2.

a = 8.9690 Å, b = 9.7255 Å, c = 5.4868 Å
α = 90.00°, β = 108.71°, γ = 90.00°
Space group C2/c (No. 15)
One atom of each set of equivalent atoms:
K 0.0000 0.1472 0.2500
Ag 0.0000 0.4533 0.7500
Se 0.2422 0.3621 0.1049

Results
uncorrected energy	-3.26	eV/atom
size of the total moment	0.00	μB per formula unit

Entry 3:
A plane-wave DFT calculation with GGA-PBE was carried out for an optimized crystal structure of KAgSe2.

a = 7.2661 Å, b = 7.2661 Å, c = 7.2661 Å
α = 90.00°, β = 90.00°, γ = 90.00°
Space group Fm-3m (No. 225)
One atom of each set of equivalent atoms:
K 0.0000 0.0000 0.0000
Ag 0.0000 0.0000 0.5000
Se 0.2500 0.2500 0.2500

Results
uncorrected energy	-2.83	eV/atom
DOS at the Fermi energy	19.2	states/eV/cell
size of the total moment	0.00	μB per formula unit

Entry 4:
A plane-wave DFT calculation with GGA-PBE was carried out for an optimized crystal structure of KAgSe2.

a = 4.0546 Å, b = 4.0546 Å, c = 26.6106 Å
α = 90.00°, β = 90.00°, γ = 120.00°
Space group R-3m (No. 166, hexagonal axes)
One atom of each set of equivalent atoms:
K 0.0000 0.0000 0.0000
Ag 0.0000 0.0000 0.5000
Se 0.0000 0.0000 0.1152

Results
uncorrected energy	-2.80	eV/atom
DOS at the Fermi energy	10.5	states/eV/cell
size of the total moment	0.00	μB per formula unit

Entry 5:
A plane-wave DFT calculation with GGA-PBE was carried out for an optimized crystal structure of K3AgSe4.

a = 5.1881 Å, b = 5.7392 Å, c = 17.4739 Å
α = 90.00°, β = 90.00°, γ = 90.00°
Space group Immm (No. 71)
One atom of each set of equivalent atoms:
K 0.0000 0.0000 0.0000
K 0.0000 0.5000 0.1973
Ag 0.0000 0.0000 0.5000
Se 0.0000 0.2712 0.3791

Results
uncorrected energy	-3.24	eV/atom
DOS at the Fermi energy	4.0	states/eV/cell
size of the total moment	0.00	μB per formula unit

Entry 6:
A plane-wave DFT calculation with GGA-PBE was carried out for an optimized crystal structure of KAgSe3.

a = 5.3481 Å, b = 8.5906 Å, c = 13.5458 Å
α = 90.00°, β = 110.89°, γ = 90.00°
Space group P2_1/c (No. 14)
One atom of each set of equivalent atoms:
K 0.2354 0.1720 0.4593
Ag 0.1408 0.0255 0.1713
Se 0.0575 0.1377 0.7018
Se 0.2904 0.5472 0.5036
Se 0.3835 0.5374 0.1854

Results
uncorrected energy	-3.26	eV/atom
DOS at the Fermi energy	7.1	states/eV/cell
size of the total moment	0.00	μB per formula unit
distance to the lowest polymorph of the same formula	0.000	eV per atom

Entry 7:
A plane-wave DFT calculation with GGA-PBE was carried out for an optimized crystal structure of K2AgSe.

a = 7.9029 Å, b = 7.9029 Å, c = 7.9029 Å
α = 90.00°, β = 90.00°, γ = 90.00°
Space group Fm-3m (No. 225)
One atom of each set of equivalent atoms:
K 0.2500 0.2500 0.2500
Ag 0.0000 0.0000 0.0000
Se 0.0000 0.0000 0.5000

Results
uncorrected energy	-2.53	eV/atom
DOS at the Fermi energy	10.3	states/eV/cell
size of the total moment	0.00	μB per formula unit
distance to the lowest polymorph of the same formula	0.110	eV per atom

Entry 8:
A plane-wave DFT calculation with GGA-PBE was carried out for an optimized crystal structure of K2AgSe.

a = 7.7780 Å, b = 7.7780 Å, c = 7.7780 Å
α = 90.00°, β = 90.00°, γ = 90.00°
Space group F-43m (No. 216)
One atom of each set of equivalent atoms:
K 0.0000 0.0000 0.0000
K 0.2500 0.2500 0.2500
Ag 0.0000 0.0000 0.5000
Se 0.2500 0.2500 0.7500

Results
uncorrected energy	-2.47	eV/atom
DOS at the Fermi energy	8.5	states/eV/cell
size of the total moment	0.00	μB per formula unit
distance to the lowest polymorph of the same formula	0.176	eV per atom

Entry 9:
A plane-wave DFT calculation with GGA-PBE was carried out for an optimized crystal structure of KAgSe3.

a = 5.9009 Å, b = 5.9009 Å, c = 5.9009 Å
α = 90.00°, β = 90.00°, γ = 90.00°
Space group Pm-3m (No. 221)
One atom of each set of equivalent atoms:
K 0.0000 0.0000 0.0000
Ag 0.5000 0.5000 0.5000
Se 0.0000 0.0000 0.5000

Results
uncorrected energy	-1.91	eV/atom
DOS at the Fermi energy	7.2	states/eV/cell
size of the total moment	4.00	μB per formula unit
distance to the lowest polymorph of the same formula	1.352	eV per atom

Entry 10:
A plane-wave DFT calculation with GGA-PBE was carried out for an optimized crystal structure of K2AgSe.

a = 4.8654 Å, b = 7.1769 Å, c = 9.5345 Å
α = 90.00°, β = 90.00°, γ = 90.00°
Space group Cmm2 (No. 35)
One atom of each set of equivalent atoms:
K 0.0000 0.0000 0.0000
K 0.0000 0.5000 0.4213
Ag 0.0000 0.0000 0.6748
Se 0.0000 0.5000 0.7638

Results
uncorrected energy	-2.42	eV/atom
DOS at the Fermi energy	2.6	states/eV/cell
size of the total moment	0.00	μB per formula unit
distance to the lowest polymorph of the same formula	0.225	eV per atom

Entry 11:
A plane-wave DFT calculation with GGA-PBE was carried out for an optimized crystal structure of K3Ag4Se4.

a = 4.8543 Å, b = 7.3910 Å, c = 15.2652 Å
α = 90.00°, β = 90.00°, γ = 90.00°
Space group Immm (No. 71)
One atom of each set of equivalent atoms:
K 0.0000 0.0000 0.0000
K 0.0000 0.5000 0.1176
Ag 0.0000 0.3055 0.3295
Se 0.0000 0.0000 0.2216
Se 0.0000 0.2028 0.5000

Results
uncorrected energy	-3.12	eV/atom
DOS at the Fermi energy	6.7	states/eV/cell
size of the total moment	0.00	μB per formula unit
distance to the lowest polymorph of the same formula	0.030	eV per atom

Entry 12:
A plane-wave DFT calculation with GGA-PBE was carried out for an optimized crystal structure of KAg4Se2.

a = 5.3154 Å, b = 5.3154 Å, c = 15.4094 Å
α = 90.00°, β = 90.00°, γ = 90.00°
Space group I4/mmm (No. 139)
One atom of each set of equivalent atoms:
K 0.0000 0.0000 0.0000
Ag 0.0000 0.0000 0.2359
Ag 0.0000 0.5000 0.0000
Se 0.0000 0.0000 0.3983

Results
uncorrected energy	-2.23	eV/atom
DOS at the Fermi energy	4.0	states/eV/cell
size of the total moment	0.00	μB per formula unit
distance to the lowest polymorph of the same formula	0.860	eV per atom

Entry 13:
A plane-wave DFT calculation with GGA-PBE was carried out for an optimized crystal structure of KAgSe2.

a = 11.0302 Å, b = 3.9660 Å, c = 7.5661 Å
α = 90.00°, β = 129.38°, γ = 90.00°
Space group C2/m (No. 12)
One atom of each set of equivalent atoms:
K 0.0000 0.0000 0.0000
Ag 0.0000 0.0000 0.5000
Se 0.1256 0.5000 0.7760

Results
uncorrected energy	-3.21	eV/atom
DOS at the Fermi energy	0.9	states/eV/cell
size of the total moment	0.00	μB per formula unit

Entry 14:
A plane-wave DFT calculation with GGA-PBE was carried out for an optimized crystal structure of KAgSe2.

a = 2.9938 Å, b = 2.9938 Å, c = 11.4361 Å
α = 90.00°, β = 90.00°, γ = 90.00°
Space group P4mm (No. 99)
One atom of each set of equivalent atoms:
K 0.0000 0.0000 0.0000
Ag 0.5000 0.5000 0.7402
Se 0.0000 0.0000 0.5583
Se 0.5000 0.5000 0.2131

Results
uncorrected energy	-2.64	eV/atom
DOS at the Fermi energy	2.4	states/eV/cell
size of the total moment	0.00	μB per formula unit

Entry 15:
A plane-wave DFT calculation with GGA-PBE was carried out for an optimized crystal structure of K2AgSe.

a = 4.4406 Å, b = 4.4406 Å, c = 6.7541 Å
α = 90.00°, β = 90.00°, γ = 90.00°
Space group P4mm (No. 99)
One atom of each set of equivalent atoms:
K 0.0000 0.0000 0.0000
K 0.5000 0.5000 0.3571
Ag 0.5000 0.5000 0.7961
Se 0.0000 0.0000 0.5357

Results
uncorrected energy	-2.33	eV/atom
DOS at the Fermi energy	3.3	states/eV/cell
size of the total moment	0.87	μB per formula unit
distance to the lowest polymorph of the same formula	0.308	eV per atom

Entry 16:
A plane-wave DFT calculation with GGA-PBE was carried out for an optimized crystal structure of KAgSe2.

a = 4.7536 Å, b = 4.7536 Å, c = 8.4766 Å
α = 90.00°, β = 90.00°, γ = 90.00°
Space group I4/mmm (No. 139)
One atom of each set of equivalent atoms:
K 0.0000 0.0000 0.0000
Ag 0.0000 0.0000 0.5000
Se 0.0000 0.5000 0.2500

Results
uncorrected energy	-2.87	eV/atom
DOS at the Fermi energy	3.2	states/eV/cell
size of the total moment	0.00	μB per formula unit

Entry 17:
A plane-wave DFT calculation with GGA-PBE was carried out for an optimized crystal structure of KAg8Se6.

a = 7.4001 Å, b = 7.4001 Å, c = 25.1547 Å
α = 90.00°, β = 90.00°, γ = 120.00°
Space group R-3 (No. 148, hexagonal axes)
One atom of each set of equivalent atoms:
K 0.0000 0.0000 0.0000
Ag 0.0000 0.0000 0.4253
Ag 0.0329 0.2586 0.1405
Se 0.0016 0.2989 0.2475

Results
uncorrected energy	-3.09	eV/atom
DOS at the Fermi energy	43.3	states/eV/cell
size of the total moment	0.00	μB per formula unit

Entry 18:
A plane-wave DFT calculation with GGA-PBE was carried out for an optimized crystal structure of KAgSe2.

a = 3.0567 Å, b = 5.6255 Å, c = 5.6258 Å
α = 90.00°, β = 90.00°, γ = 90.00°
Space group Pmm2 (No. 25)
One atom of each set of equivalent atoms:
K 0.0000 0.0000 0.0000
Ag 0.5000 0.5000 0.4988
Se 0.5000 0.0000 0.4999
Se 0.5000 0.5000 0.9988

Results
uncorrected energy	-3.06	eV/atom
DOS at the Fermi energy	1.0	states/eV/cell
size of the total moment	0.00	μB per formula unit

Entry 19:
A plane-wave DFT calculation with GGA-PBE was carried out for an optimized crystal structure of KAgSe2.

a = 4.3664 Å, b = 4.3664 Å, c = 10.1188 Å
α = 90.00°, β = 90.00°, γ = 90.00°
Space group I-4m2 (No. 119)
One atom of each set of equivalent atoms:
K 0.0000 0.0000 0.0000
Ag 0.0000 0.5000 0.2500
Se 0.0000 0.0000 0.5000
Se 0.0000 0.5000 0.7500

Results
uncorrected energy	-2.79	eV/atom
DOS at the Fermi energy	7.5	states/eV/cell
size of the total moment	0.00	μB per formula unit

Entry 20:
A plane-wave DFT calculation with GGA-PBE was carried out for an optimized crystal structure of KAg4Se2.

a = 8.5271 Å, b = 8.5271 Å, c = 4.3357 Å
α = 90.00°, β = 90.00°, γ = 90.00°
Space group P4_2/mnm (No. 136)
One atom of each set of equivalent atoms:
K 0.0000 0.0000 0.0000
Ag 0.0843 0.3498 0.5000
Se 0.2164 0.7836 0.5000

Results
uncorrected energy	-3.09	eV/atom
DOS at the Fermi energy	2.4	states/eV/cell
size of the total moment	0.00	μB per formula unit
distance to the lowest polymorph of the same formula	0.000	eV per atom